1.
DFT (meta-GGA SCAN) results for a crystal of Cs2PrAgF6 relaxed with PBEsol.

## Properties
Energy   -20.241 eV per atom
ΔE_f (raw)   -3.09 eV per atom
Symmetry   Fm-3m
DOS(E_F)   0.00 states/eV/cell

abc: 6.623 6.623 6.623
angles: 60.00 60.00 60.00
Last column: magnetic moment on the atom in μB.
Element x y z (fractional)
F  0.743  0.743  0.257  0.00
F  0.743  0.257  0.743  0.00
F  0.257  0.257  0.743  0.00
F  0.257  0.743  0.257  0.00
F  0.743  0.257  0.257  0.00
F  0.257  0.743  0.743  0.00
Cs  0.750  0.750  0.750  0.00
Cs  0.250  0.250  0.250  0.00
Pr  0.500  0.500  0.500  0.00
Ag  0.000  0.000  0.000  0.07

2.
DFT (meta-GGA SCAN) results for a crystal of Ca2ZrI relaxed with PBEsol.

## Properties
Energy   -21.401 eV per atom
ΔE_f (raw)   0.29 eV per atom
Symmetry   Fm-3m
DOS(E_F)   2.28 states/eV/cell

abc: 5.588 5.588 5.588
angles: 60.00 60.00 60.00
Last column: magnetic moment on the atom in μB.
Element x y z (fractional)
Zr  0.000  0.000  0.000  1.68
Ca  0.750  0.750  0.750  0.21
Ca  0.250  0.250  0.250  0.21
I  0.500  0.500  0.500  0.00

3.
DFT (meta-GGA SCAN) results for a crystal of Zr2Ga2Au relaxed with PBEsol.

## Properties
Energy   -33.449 eV per atom
Symmetry   P4/mbm
DOS(E_F)   3.14 states/eV/cell
Formation enthalpy at 0 K   -0.80 eV/atom

abc: 4.144 6.575 6.575
angles: 90.00 90.00 90.00
Element x y z (fractional)
Ga  0.000  0.867  0.633
Ga  0.000  0.633  0.133
Ga  0.000  0.133  0.367
Ga  0.000  0.367  0.867
Au  0.000  0.000  0.000
Au  0.000  0.500  0.500
Zr  0.500  0.333  0.167
Zr  0.500  0.833  0.333
Zr  0.500  0.667  0.833
Zr  0.500  0.167  0.667

4.
DFT (meta-GGA SCAN) results for a crystal of KCuI2 relaxed with PBEsol.

## Properties
Energy   -25.071 eV per atom
ΔE_f (raw)   -0.82 eV per atom
Symmetry   I-42d
DOS(E_F)   0.00 states/eV/cell

abc: 7.034 7.034 7.034
angles: 105.31 111.59 111.59
Element x y z (fractional)
I  0.914  0.039  0.625
I  0.414  0.375  0.289
I  0.086  0.711  0.125
I  0.586  0.875  0.961
K  0.500  0.250  0.750
K  0.000  0.500  0.500
Cu  0.000  0.000  0.000
Cu  0.500  0.750  0.250

Please write out number 2 again, unchanged.
DFT (meta-GGA SCAN) results for a crystal of Ca2ZrI relaxed with PBEsol.

## Properties
Energy   -21.401 eV per atom
ΔE_f (raw)   0.29 eV per atom
Symmetry   Fm-3m
DOS(E_F)   2.28 states/eV/cell

abc: 5.588 5.588 5.588
angles: 60.00 60.00 60.00
Last column: magnetic moment on the atom in μB.
Element x y z (fractional)
Zr  0.000  0.000  0.000  1.68
Ca  0.750  0.750  0.750  0.21
Ca  0.250  0.250  0.250  0.21
I  0.500  0.500  0.500  0.00

- Look up the DOS(E_F) of the second one.
  2.28 states/eV/cell